1.
VASP calculation (PBE) on IrRhSCl2 after structural relaxation.

- E_form (uncorrected): 0.738 eV/atom
- Crystal system: tetragonal

Cell: 5.011 5.011 4.380 Å, 90.00 90.00 90.00°
Space group P4/mmm (No. 123)
Symmetry-distinct sites (fractional):
Ir 0.000 0.000 0.000 x1
Rh 0.500 0.500 0.500 x1
S 0.000 0.000 0.500 x1
Cl 0.000 0.500 0.000 x2

=====

2.
VASP calculation (PBE) on GaCoAs3 after structural relaxation.

- ΔE_f: 1.177 eV per atom
- Crystal system: cubic

Cell: 4.849 4.849 4.849 Å, 90.00 90.00 90.00°
Space group Pm-3m (No. 221)
Symmetry-distinct sites (fractional):
Ga 0.000 0.000 0.000 x1
Co 0.500 0.500 0.500 x1
As 0.000 0.000 0.500 x3